Entry from Alexandria via LeMat-Bulk: an optimized crystal structure of Y4Au5 (GGA-PBE).

Properties
The energy relative to the elements comes out at -619 meV/atom. The total moment comes out at 0.571 μB per formula unit. For the relative energy among the computed polymorphs, the calculation gives 2.83 kcal/mol of atoms.

Structure (POSCAR):
```
Y4Au5
1.0
2.370 4.432 4.971
-5.445 -4.326 -1.265
4.838 -5.050 1.028
Y Au
4 5
direct
0.698 0.000 0.698
0.302 0.000 0.302
0.000 0.698 0.698
0.000 0.302 0.302
0.000 0.000 0.000
0.670 0.670 0.340
0.330 0.670 0.000
0.670 0.330 0.000
0.330 0.330 0.660
```